1.
5
Lattice="4.8002 0.0000 0.0000 0.0000 4.8002 0.0000 0.0000 0.0000 4.8002" Properties=species:S:1:pos:R:3 comment="Mg3ClF, optimized geometry, DFT PBE-GGA" raw_formation_energy_mev_per_atom=-714 magmom_total_mub_per_cell=0.00 pbc="T T T"
Mg 0.0000 2.4001 0.0000
Mg 0.0000 0.0000 2.4001
Mg 2.4001 0.0000 0.0000
F 0.0000 0.0000 0.0000
Cl 2.4001 2.4001 2.4001

---

2.
12
Lattice="3.5864 0.0000 0.0000 -1.7932 7.7024 -2.8062 0.0000 0.4252 9.7463" Properties=species:S:1:pos:R:3 comment="Mg2Cl3F, optimized geometry, DFT PBE-GGA" raw_formation_energy_mev_per_atom=-2176 magmom_total_mub_per_cell=0.00 pbc="T T T"
Mg 0.0000 1.6787 7.1137
Mg 1.7932 6.4489 -0.1735
Mg 0.0000 6.4955 2.9950
Mg 1.7932 1.6321 3.9452
Cl 1.7932 6.8625 4.6999
Cl 0.0000 1.2651 2.2402
Cl 0.0000 5.6412 -1.5033
Cl 1.7932 2.4864 8.4435
Cl 0.0000 3.1009 4.9828
Cl 1.7932 5.0267 1.9574
F 1.7932 0.8991 5.8815
F 0.0000 7.2285 1.0587